No. 1
# AgMoN2, relaxed, DFT PBE-GGA
# DFT total energy in eV per atom: -7.44
# Formation energy (no corrections) in meV per atom: 142
data_AgMoN2
_chemical_formula_sum 'Ag4 Mo4 N8'
_symmetry_space_group_name_H-M 'I -4 2 d'
_symmetry_Int_Tables_number 122
_symmetry_space_group_name_Hall 'I -4 2bw'
_cell_length_a 4.972
_cell_length_b 4.972
_cell_length_c 9.496
_cell_angle_alpha 90.00
_cell_angle_beta 90.00
_cell_angle_gamma 90.00
loop_
_atom_site_label
_atom_site_fract_x
_atom_site_fract_y
_atom_site_fract_z
Ag1 0.000 0.000 0.000
Mo1 0.000 0.000 0.500
N1 0.170 0.250 0.625



No. 2
# AgMo3N, relaxed, DFT PBE-GGA
# DFT total energy in eV per atom: -8.65
# Formation energy (no corrections) in meV per atom: 85
data_AgMo3N
_chemical_formula_sum 'Ag1 Mo3 N1'
_symmetry_space_group_name_H-M 'P m -3 m'
_symmetry_Int_Tables_number 221
_symmetry_space_group_name_Hall '-P 4 2 3'
_cell_length_a 4.147
_cell_length_b 4.147
_cell_length_c 4.147
_cell_angle_alpha 90.00
_cell_angle_beta 90.00
_cell_angle_gamma 90.00
loop_
_atom_site_label
_atom_site_fract_x
_atom_site_fract_y
_atom_site_fract_z
Ag1 0.000 0.000 0.000
Mo1 0.000 0.500 0.500
N1 0.500 0.500 0.500



No. 3
# AgMoN2, relaxed, DFT PBE-GGA
# DFT total energy in eV per atom: -7.43
# Formation energy (no corrections) in meV per atom: 150
data_AgMoN2
_chemical_formula_sum 'Ag3 Mo3 N6'
_symmetry_space_group_name_H-M 'R -3 m'
_symmetry_Int_Tables_number 166
_symmetry_space_group_name_Hall '-R 3 2"'
_cell_length_a 2.9747
_cell_length_b 2.9747
_cell_length_c 19.8985
_cell_angle_alpha 90.00
_cell_angle_beta 90.00
_cell_angle_gamma 120.00
loop_
_atom_site_label
_atom_site_fract_x
_atom_site_fract_y
_atom_site_fract_z
Ag1 0.0000 0.0000 0.0000
Mo1 0.0000 0.0000 0.5000
N1 0.0000 0.0000 0.1074



No. 4
# AgMoN, relaxed, DFT PBE-GGA
# DFT total energy in eV per atom: -7.27
# Formation energy (no corrections) in meV per atom: 66
data_AgMoN
_chemical_formula_sum 'Ag2 Mo2 N2'
_symmetry_space_group_name_H-M 'P 4/n m m'
_symmetry_Int_Tables_number 129
_cell_length_a 2.950
_cell_length_b 2.950
_cell_length_c 10.065
_cell_angle_alpha 90.00
_cell_angle_beta 90.00
_cell_angle_gamma 90.00
loop_
_symmetry_equiv_pos_as_xyz
'x,y,z'
'-x,-y,-z'
'-y+1/2,x,z'
'y+1/2,-x,-z'
'-x+1/2,-y+1/2,z'
'x+1/2,y+1/2,-z'
'y,-x+1/2,z'
'-y,x+1/2,-z'
'x+1/2,-y,-z'
'-x+1/2,y,z'
'-y,-x,-z'
'y,x,z'
'-x,y+1/2,-z'
'x,-y+1/2,z'
'y+1/2,x+1/2,-z'
'-y+1/2,-x+1/2,z'
loop_
_atom_site_label
_atom_site_fract_x
_atom_site_fract_y
_atom_site_fract_z
Ag1 0.250 0.250 0.104
Mo1 0.250 0.250 0.403
N1 0.250 0.250 0.626